# 1
## Pu6FeTc2 (PBE-GGA)

Data for a geometry-optimized Pu6FeTc2 structure.

The structure in POSCAR format:
```
Pu6FeTc2
1.0
2.921 0.000 0.000
0.000 7.526 0.000
0.000 -3.763 6.518
Pu Fe Tc
6 1 2
direct
0.088 0.675 0.675 Pu
0.088 0.000 0.325 Pu
0.088 0.325 0.000 Pu
0.912 0.325 0.325 Pu
0.912 0.000 0.675 Pu
0.912 0.675 0.000 Pu
0.500 0.000 0.000 Fe
0.500 0.667 0.333 Tc
0.500 0.333 0.667 Tc
```

Computed properties:
Its space-group type is P-31m, No. 162. The calculation puts the formation enthalpy at 0 K at 0.203 eV/atom.


# 2
## Sr3CdB (PBE-GGA)

Data for a geometry-optimized Sr3CdB structure.

The structure in POSCAR format:
```
Sr3CdB
1.0
5.674 0.000 0.000
0.000 5.674 0.000
0.000 0.000 5.674
Sr B Cd
3 1 1
direct
0.000 0.500 0.000 Sr
0.000 0.000 0.500 Sr
0.500 0.000 0.000 Sr
0.000 0.000 0.000 B
0.500 0.500 0.500 Cd
```

Computed properties:
For the energy relative to the lowest polymorph listed for this composition, the calculation gives 0 meV per atom. Its space-group type is Pm-3m, No. 221. The calculation puts the formation enthalpy at 0 K at 0.242 eV/atom.


# 3
## TmGaTc (PBE-GGA)

Data for a geometry-optimized TmGaTc structure.

The structure in POSCAR format:
```
TmGaTc
1.0
-2.745 -1.301 -2.274
0.716 -0.624 -3.674
2.230 -10.776 0.304
Ga Tm Tc
2 2 2
direct
0.103 0.103 0.690 Ga
0.897 0.897 0.310 Ga
0.621 0.621 0.136 Tm
0.379 0.379 0.864 Tm
0.185 0.185 0.444 Tc
0.815 0.815 0.556 Tc
```

Computed properties:
For the energy relative to the lowest polymorph listed for this composition, the calculation gives 559 meV per atom. Its space-group type is R-3m, No. 166. The calculation puts the formation enthalpy at 0 K at 0.083 eV/atom.


# 4
## TiTlSb2 (PBE-GGA)

Data for a geometry-optimized TiTlSb2 structure.

The structure in POSCAR format:
```
TiTlSb2
1.0
3.440 0.000 0.000
0.000 3.440 0.000
0.000 0.000 8.680
Sb Tl Ti
2 1 1
direct
0.000 0.000 0.808 Sb
0.000 0.000 0.192 Sb
0.500 0.500 0.500 Tl
0.500 0.500 0.000 Ti
```

Computed properties:
For the energy relative to the lowest polymorph listed for this composition, the calculation gives 19 meV per atom. Its space-group type is P4/mmm, No. 123. The formation energy without anion corrections is -0.133 eV per atom.


# 5
## Ac2InHgGe (PBE-GGA)

Data for a geometry-optimized Ac2InHgGe structure.

The structure in POSCAR format:
```
Ac2InHgGe
1.0
4.905 0.000 0.000
0.000 8.141 1.561
0.000 -1.752 7.806
Ac In Hg Ge
4 2 2 2
direct
0.750 0.798 0.505 Ac
0.750 0.776 0.007 Ac
0.250 0.202 0.495 Ac
0.250 0.224 0.993 Ac
0.250 0.575 0.721 In
0.750 0.425 0.279 In
0.250 0.618 0.267 Hg
0.750 0.382 0.733 Hg
0.250 0.904 0.762 Ge
0.750 0.096 0.238 Ge
```

Computed properties:
Its space-group type is P2_1/m, No. 11. The calculation puts the formation enthalpy at 0 K at -0.496 eV/atom.


# 6
## VCrFePb2 (PBE-GGA)

Data for a geometry-optimized VCrFePb2 structure.

The structure in POSCAR format:
```
VCrFePb2
1.0
-0.268 -1.950 4.811
-2.155 -3.204 -1.419
4.420 -2.613 -0.813
Pb Cr Fe V
2 1 1 1
direct
0.000 0.000 0.500 Pb
0.500 0.000 0.000 Pb
0.000 0.000 0.000 Cr
0.500 0.500 0.500 Fe
0.000 0.500 0.000 V
```

Computed properties:
Its space-group type is P4/mmm, No. 123. The calculation puts the formation enthalpy at 0 K at 1.168 eV/atom.


# 7
## ScFeSe3 (PBE-GGA)

Data for a geometry-optimized ScFeSe3 structure.

The structure in POSCAR format:
```
ScFeSe3
1.0
5.109 0.000 0.000
0.000 5.109 0.000
0.000 0.000 5.109
Sc Fe Se
1 1 3
direct
0.000 0.000 0.000 Sc
0.500 0.500 0.500 Fe
0.000 0.500 0.000 Se
0.000 0.000 0.500 Se
0.500 0.000 0.000 Se
```

Computed properties:
For the energy relative to the lowest polymorph listed for this composition, the calculation gives 297 meV per atom. Its space-group type is Pm-3m, No. 221. The formation energy without anion corrections is 0.067 eV per atom.


# 8
## CoRu2Br (PBE-GGA)

Data for a geometry-optimized CoRu2Br structure.

The structure in POSCAR format:
```
CoRu2Br
1.0
3.036 0.000 0.000
0.000 3.036 0.000
0.000 0.000 6.492
Br Co Ru
1 1 2
direct
0.500 0.500 0.250 Br
0.500 0.500 0.750 Co
0.000 0.000 0.952 Ru
0.000 0.000 0.548 Ru
```

Computed properties:
For the energy relative to the lowest polymorph listed for this composition, the calculation gives 164 meV per atom. Its space-group type is P4/mmm, No. 123. The formation energy without anion corrections is 0.710 eV per atom.